The following is a PBE calculation of a relaxed structure of Ac5PrIr3, from Alexandria.

Lattice parameters (Å, degrees): 6.979 4.438 21.318 90.00 91.09 90.00
Atoms (fractional coordinates):
Ac (0.208, 0.000, 0.394)
Ac (0.230, 0.000, 0.058)
Ac (0.266, 0.500, 0.889)
Ac (0.288, 0.500, 0.228)
Ac (0.292, 0.500, 0.564)
Ac (0.708, 0.500, 0.436)
Ac (0.712, 0.500, 0.772)
Ac (0.734, 0.500, 0.111)
Ac (0.770, 0.000, 0.942)
Ac (0.792, 0.000, 0.606)
Pr (0.217, 0.000, 0.726)
Pr (0.783, 0.000, 0.274)
Ir (0.000, 0.500, 0.000)
Ir (0.007, 0.500, 0.669)
Ir (0.491, 0.000, 0.832)
Ir (0.500, 0.000, 0.500)
Ir (0.509, 0.000, 0.168)
Ir (0.993, 0.500, 0.331)

For the density of states at the Fermi level, the calculation gives 0.638 states/eV per atom. The calculation puts the spin magnetization at 0.000 μB per formula unit. The space group is P2/m (10). Its formation energy is -0.560 eV per atom. For the uncorrected energy, the calculation gives -6.327 eV/atom.